# PuBOs | the Open Quantum Materials Database | PBE | optimized geometry
# offset from the most stable computed form = 0.00 eV per formula unit
# E = -10.372 eV/atom
data_PuBOs
_chemical_formula_sum 'Pu4 B4 Os4'
_symmetry_space_group_name_H-M 'F -4 3 m'
_symmetry_Int_Tables_number 216
_symmetry_space_group_name_Hall 'F -4 2 3'
_cell_length_a 5.6635
_cell_length_b 5.6635
_cell_length_c 5.6635
_cell_angle_alpha 90.00
_cell_angle_beta 90.00
_cell_angle_gamma 90.00
loop_
_atom_site_label
_atom_site_fract_x
_atom_site_fract_y
_atom_site_fract_z
Pu1 0.0000 0.0000 0.0000
B1 0.2500 0.2500 0.7500
Os1 0.0000 0.0000 0.5000